VASP calculation (GGA-PBE) on Tb7Ho4Hg after structural relaxation.

Unit cell a=3.5629 b=3.5629 c=33.7328 alpha=90.00 beta=90.00 gamma=120.00
Closest atoms and distances in Å follow each position.
Fractional coordinates of all 12 atoms:
Tb 0.6667 0.3333 0.8294  3 Ho 3.54, 9 Tb 3.56
Tb 0.3333 0.6667 0.4270  3 Hg 3.21, 3 Ho 3.53, 6 Tb 3.56
Tb 0.3333 0.6667 0.1706  3 Ho 3.54, 9 Tb 3.56
Tb 0.0000 0.0000 0.2566  3 Ho 3.54, 9 Tb 3.56
Tb 0.0000 0.0000 0.7434  3 Ho 3.54, 9 Tb 3.56
Tb 0.6667 0.3333 0.5730  3 Hg 3.21, 3 Ho 3.53, 6 Tb 3.56
Tb 0.0000 0.0000 0.0000  6 Ho 3.54, 6 Tb 3.56
Hg 0.0000 0.0000 0.5000  6 Tb 3.21, 6 Hg 3.56
Ho 0.3333 0.6667 0.6579  6 Tb 3.53-3.54, 6 Ho 3.56
Ho 0.6667 0.3333 0.0853  6 Tb 3.54, 6 Ho 3.56
Ho 0.3333 0.6667 0.9147  6 Tb 3.54, 6 Ho 3.56
Ho 0.6667 0.3333 0.3421  6 Tb 3.53-3.54, 6 Ho 3.56

The total moment comes out at 0.0000 μB/atom. The space-group type is P-3m1 (164). The crystal system is trigonal. The formation enthalpy at 0 K comes out at -0.5 eV per formula unit.